# 1
Density functional theory data (PBE) for a geometry-optimized ThScTe structure.

Values from the calculation:
**Crystal system**: cubic
**Magnetization**: 0.8 μB per formula unit
**Electronic total energy**: -5.86 eV per atom
**Distance to the lowest polymorph of the same formula**: 0 meV/atom

Geometry as CIF:
```
data_ThScTe
_chemical_formula_sum 'Th4 Sc4 Te4'
_symmetry_space_group_name_H-M 'F -4 3 m'
_symmetry_Int_Tables_number 216
_symmetry_space_group_name_Hall 'F -4 2 3'
_cell_length_a 7.168
_cell_length_b 7.168
_cell_length_c 7.168
_cell_angle_alpha 90.00
_cell_angle_beta 90.00
_cell_angle_gamma 90.00
loop_
_atom_site_label
_atom_site_type_symbol
_atom_site_fract_x
_atom_site_fract_y
_atom_site_fract_z
Th1 Th 0.000 0.000 0.000
Sc1 Sc 0.000 0.000 0.500
Te1 Te 0.250 0.250 0.750
```

=====

# 2
Density functional theory data (PBE) for a geometry-optimized Zr3NbGa2C2 structure.

Values from the calculation:
**Crystal system**: trigonal
**Magnetization**: 0.0 μB per formula unit
**Electronic total energy**: -8.20 eV per atom

Geometry as CIF:
```
data_Zr3NbGa2C2
_chemical_formula_sum 'Zr3 Nb1 Ga2 C2'
_symmetry_space_group_name_H-M 'P 3 m 1'
_symmetry_Int_Tables_number 156
_cell_length_a 3.2855
_cell_length_b 3.2855
_cell_length_c 14.0917
_cell_angle_alpha 90.00
_cell_angle_beta 90.00
_cell_angle_gamma 120.00
loop_
_symmetry_equiv_pos_as_xyz
'x,y,z'
'-y,x-y,z'
'-x+y,-x,z'
'-y,-x,z'
'-x+y,y,z'
'x,x-y,z'
loop_
_atom_site_label
_atom_site_type_symbol
_atom_site_fract_x
_atom_site_fract_y
_atom_site_fract_z
Zr1 Zr 0.0000 0.0000 0.0000
Zr2 Zr 0.0000 0.0000 0.3254
Zr3 Zr 0.6667 0.3333 0.5076
Nb1 Nb 0.6667 0.3333 0.8245
Ga1 Ga 0.0000 0.0000 0.6699
Ga2 Ga 0.6667 0.3333 0.1625
C1 C 0.3333 0.6667 0.4160
C2 C 0.3333 0.6667 0.9079
```

=====

# 3
Density functional theory data (PBE) for a geometry-optimized Cu4Ag structure.

Values from the calculation:
**Crystal system**: trigonal
**Electronic total energy**: -3.45 eV per atom
**Energy of formation from the pure elements**: 0.0857 eV per atom
**Distance to the lowest polymorph of the same formula**: 42 meV/atom

Geometry as CIF:
```
data_Cu4Ag
_chemical_formula_sum 'Cu24 Ag6'
_symmetry_space_group_name_H-M 'R -3 m'
_symmetry_Int_Tables_number 166
_symmetry_space_group_name_Hall '-R 3 2"'
_cell_length_a 2.6852
_cell_length_b 2.6852
_cell_length_c 63.3287
_cell_angle_alpha 90.00
_cell_angle_beta 90.00
_cell_angle_gamma 120.00
loop_
_atom_site_label
_atom_site_type_symbol
_atom_site_fract_x
_atom_site_fract_y
_atom_site_fract_z
Cu1 Cu 0.0000 0.0000 0.0477
Cu2 Cu 0.0000 0.0000 0.1512
Cu3 Cu 0.0000 0.0000 0.2540
Cu4 Cu 0.0000 0.0000 0.3493
Ag1 Ag 0.0000 0.0000 0.4488
```

=====

# 4
Density functional theory data (PBE) for a geometry-optimized DyYSi2Pd structure.

Values from the calculation:
**Crystal system**: monoclinic
**Magnetization**: 0.4 μB per formula unit
**Electronic total energy**: -6.35 eV per atom

Geometry as CIF:
```
data_DyYSi2Pd
_chemical_formula_sum 'Dy4 Y4 Si8 Pd4'
_symmetry_space_group_name_H-M 'C 1 2/m 1'
_symmetry_Int_Tables_number 12
_cell_length_a 10.509
_cell_length_b 4.253
_cell_length_c 10.127
_cell_angle_alpha 90.00
_cell_angle_beta 118.11
_cell_angle_gamma 90.00
loop_
_symmetry_equiv_pos_as_xyz
'x,y,z'
'-x,-y,-z'
'-x,y,-z'
'x,-y,z'
'x+1/2,y+1/2,z'
'-x+1/2,-y+1/2,-z'
'-x+1/2,y+1/2,-z'
'x+1/2,-y+1/2,z'
loop_
_atom_site_label
_atom_site_type_symbol
_atom_site_fract_x
_atom_site_fract_y
_atom_site_fract_z
Dy1 Dy 0.002 0.000 0.324
Y1 Y 0.186 0.000 0.106
Si1 Si 0.018 0.500 0.886
Si2 Si 0.133 0.500 0.565
Pd1 Pd 0.225 0.500 0.362
```

=====

# 5
Density functional theory data (PBE) for a geometry-optimized NdGdTl2Pt4 structure.

Values from the calculation:
**Crystal system**: hexagonal
**Magnetization**: 0.0 μB per formula unit
**Electronic total energy**: -5.52 eV per atom

Geometry as CIF:
```
data_NdGdTl2Pt4
_chemical_formula_sum 'Nd1 Gd1 Tl2 Pt4'
_symmetry_space_group_name_H-M 'P -6 m 2'
_symmetry_Int_Tables_number 187
_symmetry_space_group_name_Hall 'P -6 2'
_cell_length_a 4.6732
_cell_length_b 4.6732
_cell_length_c 9.1214
_cell_angle_alpha 90.00
_cell_angle_beta 90.00
_cell_angle_gamma 120.00
loop_
_atom_site_label
_atom_site_type_symbol
_atom_site_fract_x
_atom_site_fract_y
_atom_site_fract_z
Nd1 Nd 0.0000 0.0000 0.0000
Gd1 Gd 0.3333 0.6667 0.5000
Tl1 Tl 0.6667 0.3333 0.2526
Pt1 Pt 0.0000 0.0000 0.3477
Pt2 Pt 0.3333 0.6667 0.1576
```

=====

# 6
Density functional theory data (PBE) for a geometry-optimized LiGa2Ni structure.

Values from the calculation:
**Crystal system**: tetragonal
**Magnetization**: 0.0 μB per formula unit
**Electronic total energy**: -3.68 eV per atom
**Distance to the lowest polymorph of the same formula**: 90 meV/atom

Geometry as CIF:
```
data_LiGa2Ni
_chemical_formula_sum 'Li1 Ga2 Ni1'
_symmetry_space_group_name_H-M 'P 4/m m m'
_symmetry_Int_Tables_number 123
_symmetry_space_group_name_Hall '-P 4 2'
_cell_length_a 4.039
_cell_length_b 4.039
_cell_length_c 3.198
_cell_angle_alpha 90.00
_cell_angle_beta 90.00
_cell_angle_gamma 90.00
loop_
_atom_site_label
_atom_site_type_symbol
_atom_site_fract_x
_atom_site_fract_y
_atom_site_fract_z
Li1 Li 0.000 0.000 0.000
Ga1 Ga 0.000 0.500 0.500
Ni1 Ni 0.500 0.500 0.000
```

=====

Which value of electronic total energy does entry 6 give? -3.68 eV per atom